# Pm7Co2Cu2 | the Alexandria database | GGA-PBE | relaxed
# DFT formation energy = 0.02 eV/atom
# volume = 26.65 A^3/atom
data_Pm7Co2Cu2
_cell_length_a 6.779
_cell_length_b 6.779
_cell_length_c 6.959
_cell_angle_alpha 90.00
_cell_angle_beta 90.00
_cell_angle_gamma 113.55
_symmetry_space_group_name_H-M 'P 1'
_symmetry_Int_Tables_number 1
loop_
_symmetry_equiv_pos_as_xyz
'x,y,z'
loop_
_atom_site_label
_atom_site_type_symbol
_atom_site_fract_x
_atom_site_fract_y
_atom_site_fract_z
Pm1 Pm 0.000 0.000 0.000
Pm2 Pm 0.000 0.500 0.259
Pm3 Pm 0.000 0.500 0.741
Pm4 Pm 0.500 0.000 0.259
Pm5 Pm 0.500 0.000 0.741
Pm6 Pm 0.500 0.500 0.250
Pm7 Pm 0.500 0.500 0.750
Co1 Co 0.307 0.693 0.000
Co2 Co 0.693 0.307 0.000
Cu1 Cu 0.164 0.164 0.500
Cu2 Cu 0.836 0.836 0.500